1.
Computed, not measured: SmDyThZn after structural relaxation at the GGA-PBE level of DFT.

Cell lengths 3.584, 3.584, 8.631 Å; angles 90.00, 90.00, 90.00 degrees
Sites, in units of the cell vectors:
Dy (0.500, 0.500, 0.359)
Sm (0.500, 0.500, 0.785)
Th (0.000, 0.000, 0.076)
Zn (0.000, 0.000, 0.564)

Values from the calculation:
Symmetry: P4mm (99)
Energy of formation from the pure elements (meV per atom): -154
Fermi-level density of states (states/eV per atom): 1.29
Calculated volume (Å³/cell): 110.9
Total moment (μB per formula unit): 0.00



2.
Computed, not measured: SmDyThZr after structural relaxation at the GGA-PBE level of DFT.

Cell lengths 5.501, 5.501, 5.501 Å; angles 60.00, 60.00, 60.00 degrees
Sites, in units of the cell vectors:
Dy (0.500, 0.500, 0.500)
Sm (0.250, 0.250, 0.250)
Zr (0.000, 0.000, 0.000)
Th (0.750, 0.750, 0.750)

Values from the calculation:
Symmetry: F-43m (216)
Energy of formation from the pure elements (meV per atom): 174
Fermi-level density of states (states/eV per atom): 1.61
Calculated volume (Å³/cell): 117.7
Total moment (μB per formula unit): 0.00



3.
Computed, not measured: SmDy2Ti after structural relaxation at the GGA-PBE level of DFT.

Cell lengths 3.399, 3.399, 9.706 Å; angles 90.00, 90.00, 90.00 degrees
Sites, in units of the cell vectors:
Dy (0.000, 0.000, 0.785)
Dy (0.000, 0.000, 0.215)
Ti (0.500, 0.500, 0.000)
Sm (0.500, 0.500, 0.500)

Values from the calculation:
Symmetry: P4/mmm (123)
Energy of formation from the pure elements (meV per atom): 162
Fermi-level density of states (states/eV per atom): 1.60
Energy relative to the lowest polymorph listed for this composition (eV/atom): 0.0000
Calculated volume (Å³/cell): 112.2
Total moment (μB per formula unit): 0.00



4.
Computed, not measured: SmDy2Ti after structural relaxation at the GGA-PBE level of DFT.

Cell lengths 3.367, 3.367, 11.954 Å; angles 81.91, 81.91, 60.00 degrees
Site moments in Bohr magnetons follow the coordinates.
Sites, in units of the cell vectors:
Dy (0.083, 0.083, 0.751)  0.11
Dy (0.917, 0.917, 0.249)  0.11
Ti (0.000, 0.000, 0.000)  1.31
Sm (0.500, 0.500, 0.500)  -0.01

Values from the calculation:
Symmetry: R-3m (166)
Energy of formation from the pure elements (meV per atom): 430
Fermi-level density of states (states/eV per atom): 1.40
Energy relative to the lowest polymorph listed for this composition (eV/atom): 0.2673
Calculated volume (Å³/cell): 115.8
Total moment (μB per formula unit): 1.91



5.
Computed, not measured: SmDyTi after structural relaxation at the GGA-PBE level of DFT.

Cell lengths 3.578, 3.578, 12.898 Å; angles 90.00, 90.00, 90.00 degrees
Sites, in units of the cell vectors:
Sm (0.000, 0.500, 0.598)
Sm (0.500, 0.000, 0.402)
Dy (0.000, 0.500, 0.195)
Dy (0.500, 0.000, 0.805)
Ti (0.000, 0.500, 0.957)
Ti (0.500, 0.000, 0.043)

Values from the calculation:
Symmetry: P4/nmm (129)
Energy of formation from the pure elements (meV per atom): 94
Fermi-level density of states (states/eV per atom): 1.57
Calculated volume (Å³/cell): 165.1
Total moment (μB per formula unit): 0.00



6.
Computed, not measured: Sm6Dy2Tl after structural relaxation at the GGA-PBE level of DFT.

Cell lengths 6.313, 11.381, 11.381 Å; angles 47.80, 106.10, 106.10 degrees
Sites, in units of the cell vectors:
Dy (0.926, 0.328, 0.172)
Dy (0.426, 0.172, 0.328)
Dy (0.074, 0.672, 0.828)
Dy (0.574, 0.828, 0.672)
Sm (0.418, 0.418, 0.919)
Sm (0.438, 0.007, 0.152)
Sm (0.782, 0.349, 0.493)
Sm (0.582, 0.582, 0.081)
Sm (0.562, 0.993, 0.848)
Sm (0.082, 0.081, 0.582)
Sm (0.062, 0.848, 0.993)
Sm (0.282, 0.493, 0.349)
Sm (0.918, 0.919, 0.418)
Sm (0.718, 0.507, 0.651)
Sm (0.938, 0.152, 0.007)
Sm (0.218, 0.651, 0.507)
Tl (0.750, 0.751, 0.249)
Tl (0.250, 0.249, 0.751)

Values from the calculation:
Symmetry: C2/c (15)
Energy of formation from the pure elements (meV per atom): -11
Fermi-level density of states (states/eV per atom): 1.25
Energy relative to the lowest polymorph listed for this composition (eV/atom): 0.0000
Calculated volume (Å³/cell): 577.3
Total moment (μB per formula unit): 0.00



7.
Computed, not measured: Sm9Dy2Tl after structural relaxation at the GGA-PBE level of DFT.

Cell lengths 5.017, 5.017, 15.382 Å; angles 90.00, 90.00, 90.00 degrees
Sites, in units of the cell vectors:
Sm (0.500, 0.500, 0.000)
Sm (0.000, 0.500, 0.837)
Sm (0.500, 0.000, 0.837)
Sm (0.500, 0.000, 0.163)
Sm (0.500, 0.500, 0.670)
Sm (0.000, 0.500, 0.500)
Sm (0.500, 0.000, 0.500)
Sm (0.000, 0.500, 0.163)
Sm (0.500, 0.500, 0.330)
Tl (0.000, 0.000, 0.000)
Dy (0.000, 0.000, 0.668)
Dy (0.000, 0.000, 0.332)

Values from the calculation:
Symmetry: P4/mmm (123)
Energy of formation from the pure elements (meV per atom): -44
Fermi-level density of states (states/eV per atom): 1.36
Calculated volume (Å³/cell): 387.1
Total moment (μB per formula unit): 0.00



8.
Computed, not measured: Sm5DyTl3 after structural relaxation at the GGA-PBE level of DFT.

Cell lengths 6.841, 9.536, 9.531 Å; angles 120.02, 90.00, 90.00 degrees
Site moments in Bohr magnetons follow the coordinates.
Sites, in units of the cell vectors:
Sm (0.750, 0.000, 0.336)  0.13
Sm (0.000, 0.667, 0.333)  0.23
Sm (0.500, 0.333, 0.667)  0.23
Sm (0.250, 0.337, 0.336)  0.13
Sm (0.500, 0.667, 0.333)  0.23
Sm (0.250, 0.000, 0.664)  0.13
Sm (0.750, 0.663, 0.664)  0.13
Sm (0.000, 0.333, 0.667)  0.23
Sm (0.250, 0.664, 0.000)  0.13
Sm (0.750, 0.336, 0.000)  0.13
Dy (0.500, 0.000, 0.000)  0.22
Dy (0.000, 0.000, 0.000)  0.22
Tl (0.250, 0.000, 0.328)  0.00
Tl (0.750, 0.672, 0.000)  0.00
Tl (0.250, 0.328, 0.000)  0.00
Tl (0.250, 0.672, 0.672)  0.00
Tl (0.750, 0.328, 0.328)  0.00
Tl (0.750, 0.000, 0.672)  0.00

Values from the calculation:
Symmetry: P6_3/mcm (193)
Energy of formation from the pure elements (meV per atom): -263
Fermi-level density of states (states/eV per atom): 1.28
Calculated volume (Å³/cell): 538.3
Total moment (μB per formula unit): 1.89



9.
Computed, not measured: Sm3Dy4Tl after structural relaxation at the GGA-PBE level of DFT.

Cell lengths 4.152, 4.152, 14.454 Å; angles 90.00, 90.00, 90.00 degrees
Sites, in units of the cell vectors:
Dy (0.000, 0.000, 0.888)
Dy (0.000, 0.000, 0.112)
Dy (0.000, 0.000, 0.631)
Dy (0.000, 0.000, 0.369)
Sm (0.500, 0.500, 0.500)
Sm (0.500, 0.500, 0.248)
Sm (0.500, 0.500, 0.752)
Tl (0.500, 0.500, 0.000)

Values from the calculation:
Symmetry: P4/mmm (123)
Energy of formation from the pure elements (meV per atom): 17
Fermi-level density of states (states/eV per atom): 1.66
Energy relative to the lowest polymorph listed for this composition (eV/atom): 0.0917
Calculated volume (Å³/cell): 249.1
Total moment (μB per formula unit): 0.00



10.
Computed, not measured: Sm3DyTl3 after structural relaxation at the GGA-PBE level of DFT.

Cell lengths 9.473, 9.473, 9.473 Å; angles 90.00, 90.00, 90.00 degrees
Sites, in units of the cell vectors:
Dy (0.574, 0.926, 0.074)
Dy (0.926, 0.074, 0.574)
Dy (0.074, 0.574, 0.926)
Dy (0.426, 0.426, 0.426)
Sm (0.571, 0.071, 0.429)
Sm (0.675, 0.675, 0.675)
Sm (0.676, 0.324, 0.824)
Sm (0.824, 0.676, 0.324)
Sm (0.429, 0.571, 0.071)
Sm (0.325, 0.175, 0.825)
Sm (0.175, 0.825, 0.325)
Sm (0.929, 0.929, 0.929)
Sm (0.071, 0.429, 0.571)
Sm (0.825, 0.325, 0.175)
Sm (0.324, 0.824, 0.676)
Sm (0.176, 0.176, 0.176)
Tl (0.130, 0.501, 0.247)
Tl (0.753, 0.630, 0.999)
Tl (0.001, 0.253, 0.870)
Tl (0.370, 0.499, 0.747)
Tl (0.747, 0.370, 0.499)
Tl (0.630, 0.999, 0.753)
Tl (0.501, 0.247, 0.130)
Tl (0.870, 0.001, 0.253)
Tl (0.499, 0.747, 0.370)
Tl (0.253, 0.870, 0.001)
Tl (0.247, 0.130, 0.501)
Tl (0.999, 0.753, 0.630)

Values from the calculation:
Symmetry: P2_13 (198)
Energy of formation from the pure elements (meV per atom): -269
Fermi-level density of states (states/eV per atom): 1.23
Energy relative to the lowest polymorph listed for this composition (eV/atom): 0.0000
Calculated volume (Å³/cell): 850.0
Total moment (μB per formula unit): 0.00